(1)
This record from Alexandria describes a relaxed structure of MnNbMoOs. The functional is PBE-GGA.

```
4
Lattice="4.420 0.000 0.000 2.210 3.828 0.000 2.210 1.276 3.609" Properties=species:S:1:pos:R:3 pbc="T T T"
Mo 4.420 2.552 1.804
Os 0.000 0.000 0.000
Nb 6.630 3.828 2.707
Mn 2.210 1.276 0.902
```

Output
raw total energy	-10.34	eV/atom

---

(2)
This record from Alexandria describes a relaxed structure of YMgTl2Sb. The functional is PBE-GGA.

```
5
Lattice="-3.906 0.287 -3.599 0.182 -5.404 -0.627 -3.606 -0.570 3.868" Properties=species:S:1:pos:R:3 pbc="T T T"
Tl -1.953 0.143 -1.800
Mg 0.000 0.000 0.000
Tl -1.803 -0.285 1.934
Y -3.665 -2.844 -0.180
Sb 0.091 -2.702 -0.314
```

Output
raw formation energy	0.176	eV per atom
raw total energy	-3.21	eV/atom

---

(3)
This record from Alexandria describes a relaxed structure of Ti2CrCoPb. The functional is PBE-GGA.

```
5
Lattice="4.434 0.000 0.000 0.000 4.768 0.000 0.000 0.000 4.434" Properties=species:S:1:pos:R:3 pbc="T T T"
Co 0.000 0.000 0.000
Pb 0.000 2.384 0.000
Ti 0.000 0.000 2.217
Cr 2.217 2.384 2.217
Ti 2.217 0.000 0.000
```

Output
raw total energy	-6.39	eV/atom

---

(4)
This record from Alexandria describes a relaxed structure of CoTeBr. The functional is PBE-GGA.

```
12
Lattice="6.070 0.000 -0.001 0.000 3.622 0.000 -2.920 0.000 13.621" Properties=species:S:1:pos:R:3 pbc="T T T"
Br 2.244 0.000 11.261
Co 1.265 0.000 9.102
Br 3.704 1.811 4.451
Br 0.606 1.811 3.484
Te 1.157 1.811 0.313
Te 4.107 0.000 1.240
Te -0.303 0.000 7.123
Co -0.979 1.811 8.694
Co 0.481 0.000 1.884
Co 2.725 1.811 2.292
Te 2.647 1.811 8.051
Br -0.854 0.000 10.295
```

Output
raw formation energy	-0.112	eV per atom
raw total energy	-4.09	eV/atom

---

(5)
This record from Alexandria describes a relaxed structure of YIrRuPb. The functional is PBE-GGA.

```
12
Lattice="4.418 0.000 0.000 -2.209 3.826 0.000 0.000 0.000 15.564" Properties=species:S:1:pos:R:3 pbc="T T T"
Y 0.000 0.000 4.789
Ir 0.000 0.000 8.255
Pb 0.000 2.551 11.952
Ru 0.000 0.000 13.435
Y 0.000 2.551 15.164
Ir 0.000 2.551 3.067
Pb 2.209 1.275 6.764
Ir 2.209 1.275 13.443
Ru 2.209 1.275 3.059
Ru 0.000 2.551 8.247
Y 2.209 1.275 9.977
Pb 0.000 0.000 1.576
```

Output
raw total energy	-7.24	eV/atom

---

(6)
This record from Alexandria describes a relaxed structure of Mo2RuW. The functional is PBE-GGA.

```
4
Lattice="-2.935 3.099 -1.101 -1.798 -1.072 1.774 1.218 2.681 4.303" Properties=species:S:1:pos:R:3 pbc="T T T"
Ru -0.325 0.792 3.094
Mo -1.563 1.974 0.901
W -1.931 2.736 4.025
Mo -1.784 -1.061 1.768
```

Output
raw total energy	-10.86	eV/atom

---

(7)
This record from Alexandria describes a relaxed structure of NdSm8Tm5. The functional is PBE-GGA.

```
14
Lattice="8.125 0.000 -2.494 -4.196 6.755 -3.000 0.266 0.000 8.495" Properties=species:S:1:pos:R:3 pbc="T T T"
Nd 0.133 3.378 4.248
Tm -0.973 2.134 0.080
Sm 1.779 1.789 1.987
Sm 4.039 2.670 5.012
Sm -2.401 5.027 1.565
Sm 7.315 0.581 3.032
Sm -1.740 4.966 -1.959
Sm 1.853 4.085 -0.799
Tm 2.114 0.632 7.193
Tm 3.957 4.621 2.053
Sm 4.901 1.728 0.222
Sm 1.038 6.174 2.942
Tm 4.196 0.000 3.000
Tm 3.294 6.124 -3.326
```

Output
raw total energy	-4.39	eV/atom

---

(8)
This record from Alexandria describes a relaxed structure of LiPdIO2. The functional is PBE-GGA.

```
5
Lattice="3.912 0.000 0.000 0.000 3.912 0.000 0.000 0.000 6.768" Properties=species:S:1:pos:R:3 pbc="T T T"
Li 1.956 1.956 3.384
O 1.956 0.000 0.000
O 0.000 1.956 0.000
Pd 0.000 0.000 0.000
I 0.000 0.000 3.384
```

Output
raw formation energy	-0.295	eV per atom
raw total energy	-4.01	eV/atom

---

(9)
This record from Alexandria describes a relaxed structure of CoSbCl2. The functional is PBE-GGA.

```
4
Lattice="5.019 -1.266 -1.065 -0.802 6.602 -0.156 -3.120 -3.219 3.837" Properties=species:S:1:pos:R:3 pbc="T T T"
Cl -1.222 4.014 1.471
Cl 0.713 0.847 0.839
Sb 1.185 4.409 0.150
Co -1.393 -1.104 3.225
```

Output
raw formation energy	-0.201	eV per atom
raw total energy	-3.93	eV/atom

---

(10)
This record from Alexandria describes a relaxed structure of Ce5Bi3N. The functional is PBE-GGA.

```
18
Lattice="-3.727 1.516 4.960 -7.665 -1.781 -5.216 3.958 -6.901 5.084" Properties=species:S:1:pos:R:3 pbc="T T T"
Bi -5.558 -0.696 -1.908
Bi 1.457 -3.786 4.308
Ce 0.084 -5.194 1.651
Ce -3.791 -3.488 -1.783
Ce -8.832 -0.265 -0.388
Ce -3.583 -0.708 3.692
N 0.000 0.000 0.000
Bi -1.226 -1.599 5.735
Ce -2.561 0.000 0.131
Ce 0.321 -4.297 7.723
Bi -2.402 -3.063 1.188
Ce -0.090 -1.088 2.321
Ce -3.851 -6.458 1.136
Bi -5.835 0.431 1.652
Bi -5.033 -4.103 3.640
Ce -5.655 -2.730 0.697
N -1.864 0.758 2.480
Ce -1.780 -4.436 4.131
```

Output
raw formation energy	-0.877	eV per atom
raw total energy	-6.39	eV/atom

---

(11)
This record from Alexandria describes a relaxed structure of GdScS2. The functional is PBE-GGA.

```
4
Lattice="-2.194 2.920 1.140 -1.378 0.079 3.569 3.905 4.087 3.469" Properties=species:S:1:pos:R:3 pbc="T T T"
S 0.351 5.376 6.171
S -0.018 1.710 2.007
Sc 0.000 0.000 0.000
Gd 0.166 3.543 4.089
```

Output
raw formation energy	-1.959	eV per atom
raw total energy	-9.13	eV/atom

---

(12)
This record from Alexandria describes a relaxed structure of SrSb2As. The functional is PBE-GGA.

```
4
Lattice="3.970 0.000 0.000 0.000 4.467 0.000 0.000 0.000 6.341" Properties=species:S:1:pos:R:3 pbc="T T T"
Sb 0.000 0.000 6.161
Sr 1.985 2.233 1.585
Sb 0.000 0.000 3.351
As 1.985 2.233 4.756
```

Output
raw formation energy	-0.220	eV per atom
raw total energy	-3.86	eV/atom